First-principles (PBE-GGA) data for an optimized crystal structure of Sm2TmI, as listed in Alexandria via LeMat-Bulk.

Geometry as POSCAR:
```
Sm2TmI
1.0
3.665 0.000 0.000
0.000 3.665 0.000
0.000 0.000 9.573
Sm Tm I
2 1 1
Cartesian
0.000 0.000 2.449 Sm
0.000 0.000 7.124 Sm
1.832 1.832 0.000 Tm
1.832 1.832 4.786 I
```

**SG**: P4/mmm, No. 123
**Total DFT energy (no corrections)**: -16.7 eV for the cell shown
**N(E_F)**: 3.914 states/eV/f.u.
**Magnetization**: 0.0 μB per formula unit
**Formation energy without anion corrections**: -0.321 eV/atom
**Distance to the lowest polymorph of the same formula**: 0.055 eV per atom